Compound: PaGe2Os2
Source: Alexandria
Functional: PBE-GGA
Structure: relaxed

Geometry as CIF:
```
data_PaGe2Os2
_chemical_formula_sum 'Pa8 Ge16 Os16'
_space_group_name_H-M_alt 'F d d d'
_space_group_IT_number 70
_cell_length_a 5.3186
_cell_length_b 10.2647
_cell_length_c 13.7507
_cell_angle_alpha 90.00
_cell_angle_beta 90.00
_cell_angle_gamma 90.00
loop_
_space_group_symop_operation_xyz
'x,y,z'
'-x,-y,-z'
'-x+1/4,-y+1/4,z'
'x+1/4,y+1/4,-z'
'x,-y+1/4,-z+1/4'
'-x,y+1/4,z+1/4'
'-x+1/4,y,-z+1/4'
'x+1/4,-y,z+1/4'
'x,y+1/2,z+1/2'
'-x,-y+1/2,-z+1/2'
'-x+1/4,-y+3/4,z+1/2'
'x+1/4,y+3/4,-z+1/2'
'x,-y+3/4,-z+3/4'
'-x,y+3/4,z+3/4'
'-x+1/4,y+1/2,-z+3/4'
'x+1/4,-y+1/2,z+3/4'
'x+1/2,y,z+1/2'
'-x+1/2,-y,-z+1/2'
'-x+3/4,-y+1/4,z+1/2'
'x+3/4,y+1/4,-z+1/2'
'x+1/2,-y+1/4,-z+3/4'
'-x+1/2,y+1/4,z+3/4'
'-x+3/4,y,-z+3/4'
'x+3/4,-y,z+3/4'
'x+1/2,y+1/2,z'
'-x+1/2,-y+1/2,-z'
'-x+3/4,-y+3/4,z'
'x+3/4,y+3/4,-z'
'x+1/2,-y+3/4,-z+1/4'
'-x+1/2,y+3/4,z+1/4'
'-x+3/4,y+1/2,-z+1/4'
'x+3/4,-y+1/2,z+1/4'
loop_
_atom_site_label
_atom_site_type_symbol
_atom_site_fract_x
_atom_site_fract_y
_atom_site_fract_z
Pa1 Pa 0.1250 0.1250 0.1250
Ge1 Ge 0.1250 0.3225 0.6250
Os1 Os 0.1250 0.1250 0.5193
```

Summary:
Calculated formation energy (eV per atom): -0.22
Spin magnetization (μB/f.u.): 0.0
Electronic total energy (eV/cell): -338.14
DOS at the Fermi energy (states/eV per atom): 0.9024


Compound: La2TbTl
Source: Alexandria
Functional: PBE-GGA
Structure: relaxed

Geometry as CIF:
```
data_La2TbTl
_chemical_formula_sum 'La6 Tb3 Tl3'
_space_group_name_H-M_alt 'R -3 m'
_space_group_IT_number 166
_space_group_name_Hall '-R 3 2"'
_cell_length_a 3.6059
_cell_length_b 3.6059
_cell_length_c 37.8383
_cell_angle_alpha 90.00
_cell_angle_beta 90.00
_cell_angle_gamma 120.00
loop_
_atom_site_label
_atom_site_type_symbol
_atom_site_fract_x
_atom_site_fract_y
_atom_site_fract_z
La1 La 0.0000 0.0000 0.0893
Tb1 Tb 0.0000 0.0000 0.5000
Tl1 Tl 0.0000 0.0000 0.0000
```

Summary:
Calculated formation energy (eV per atom): 0.08
Energy above the lowest structure with this stoichiometry (meV per atom): 293
Spin magnetization (μB/f.u.): 0.0
Electronic total energy (eV/cell): -49.60
DOS at the Fermi energy (states/eV per atom): 1.1287


Compound: LaIn3Ni
Source: Alexandria
Functional: PBE-GGA
Structure: relaxed

Geometry as CIF:
```
data_LaIn3Ni
_chemical_formula_sum 'La1 In3 Ni1'
_space_group_name_H-M_alt 'P m -3 m'
_space_group_IT_number 221
_space_group_name_Hall '-P 4 2 3'
_cell_length_a 4.9899
_cell_length_b 4.9899
_cell_length_c 4.9899
_cell_angle_alpha 90.00
_cell_angle_beta 90.00
_cell_angle_gamma 90.00
loop_
_atom_site_label
_atom_site_type_symbol
_atom_site_fract_x
_atom_site_fract_y
_atom_site_fract_z
La1 La 0.0000 0.0000 0.0000
In1 In 0.0000 0.5000 0.5000
Ni1 Ni 0.5000 0.5000 0.5000
```

Summary:
Calculated formation energy (eV per atom): -0.28
Energy above the lowest structure with this stoichiometry (meV per atom): 129
Spin magnetization (μB/f.u.): 0.0
Electronic total energy (eV/cell): -20.31
DOS at the Fermi energy (states/eV per atom): 1.0148


Compound: BaNa4Pb8
Source: Alexandria
Functional: PBE-GGA
Structure: relaxed

Geometry as CIF:
```
data_BaNa4Pb8
_chemical_formula_sum 'Ba2 Na8 Pb16'
_space_group_name_H-M_alt 'I 4/m m m'
_space_group_IT_number 139
_space_group_name_Hall '-I 4 2'
_cell_length_a 11.1504
_cell_length_b 11.1504
_cell_length_c 6.5345
_cell_angle_alpha 90.00
_cell_angle_beta 90.00
_cell_angle_gamma 90.00
loop_
_atom_site_label
_atom_site_type_symbol
_atom_site_fract_x
_atom_site_fract_y
_atom_site_fract_z
Ba1 Ba 0.0000 0.0000 0.0000
Na1 Na 0.2500 0.2500 0.2500
Pb1 Pb 0.0000 0.2224 0.5000
Pb2 Pb 0.0000 0.3554 0.0000
```

Summary:
Calculated formation energy (eV per atom): -0.17
Spin magnetization (μB/f.u.): 0.0
Electronic total energy (eV/cell): -78.23
DOS at the Fermi energy (states/eV per atom): 0.4018